Density functional theory data (PBE-GGA) for a relaxed structure of Cs2RbGeI6.

a = 9.0034 Å, b = 9.0034 Å, c = 9.0034 Å
α = 60.00°, β = 60.00°, γ = 60.00°
Last column: nearest neighbours and their distance in Å.
Positions (direct):
Cs: 0.2500 0.2500 0.2500  12 I 4.51
Cs: 0.7500 0.7500 0.7500  12 I 4.51
Rb: 0.0000 0.0000 0.0000  6 I 3.48
Ge: 0.5000 0.5000 0.5000  6 I 2.88
I: 0.2736 0.2736 0.7264  1 Ge 2.88
I: 0.2736 0.7264 0.2736  1 Ge 2.88
I: 0.2736 0.7264 0.7264  1 Ge 2.88
I: 0.7264 0.2736 0.2736  1 Ge 2.88
I: 0.7264 0.2736 0.7264  1 Ge 2.88
I: 0.7264 0.7264 0.2736  1 Ge 2.88

Density functional theory data (PBE-GGA) for a relaxed structure of Pr4CdIr.

a = 10.0354 Å, b = 10.0354 Å, c = 10.0354 Å
α = 60.00°, β = 60.00°, γ = 60.00°
Last column: nearest neighbours and their distance in Å.
Positions (direct):
Pr: 0.0592 0.0592 0.4408  2 Ir 2.93
Pr: 0.0592 0.4408 0.0592  2 Ir 2.93
Pr: 0.0592 0.4408 0.4408  2 Ir 2.93
Pr: 0.1891 0.1891 0.8109  2 Cd 3.43, 2 Ir 3.60, 10 Pr 3.60-3.80
Pr: 0.1891 0.8109 0.1891  2 Cd 3.43, 2 Ir 3.60, 10 Pr 3.60-3.80
Pr: 0.1891 0.8109 0.8109  2 Cd 3.43, 2 Ir 3.60, 10 Pr 3.60-3.80
Pr: 0.2049 0.5984 0.5984  3 Ir 2.94
Pr: 0.4408 0.0592 0.0592  2 Ir 2.93
Pr: 0.4408 0.0592 0.4408  2 Ir 2.93
Pr: 0.4408 0.4408 0.0592  2 Ir 2.93
Pr: 0.5984 0.2049 0.5984  3 Ir 2.94
Pr: 0.5984 0.5984 0.2049  3 Ir 2.94
Pr: 0.5984 0.5984 0.5984  3 Ir 2.94
Pr: 0.8109 0.1891 0.1891  2 Cd 3.43, 2 Ir 3.60, 10 Pr 3.60-3.80
Pr: 0.8109 0.1891 0.8109  2 Cd 3.43, 2 Ir 3.60, 10 Pr 3.60-3.80
Pr: 0.8109 0.8109 0.1891  2 Cd 3.43, 2 Ir 3.60, 10 Pr 3.60-3.80
Cd: 0.5110 0.8297 0.8297  3 Cd 3.20, 3 Pr 3.43
Cd: 0.8297 0.5110 0.8297  3 Cd 3.20, 3 Pr 3.43
Cd: 0.8297 0.8297 0.5110  3 Cd 3.20, 3 Pr 3.43
Cd: 0.8297 0.8297 0.8297  3 Cd 3.20, 3 Pr 3.43
Ir: 0.3916 0.3916 0.3916  6 Pr 2.93-2.94
Ir: 0.3916 0.3916 0.8253  6 Pr 2.93-2.94
Ir: 0.3916 0.8253 0.3916  6 Pr 2.93-2.94
Ir: 0.8253 0.3916 0.3916  6 Pr 2.93-2.94

Values from the calculation:
ΔE to the lowest computed polymorph = 0 meV/atom
ΔE_f = -2.55 eV/f.u.

Density functional theory data (PBE-GGA) for a relaxed structure of Sm6PaSe8.

a = 8.3096 Å, b = 8.3096 Å, c = 8.3096 Å
α = 60.00°, β = 60.00°, γ = 60.00°
Last column: nearest neighbours and their distance in Å.
Positions (direct):
Sm: 0.0000 0.0000 0.5000  6 Se 2.94
Sm: 0.0000 0.5000 0.0000  6 Se 2.94
Sm: 0.0000 0.5000 0.5000  6 Se 2.94
Sm: 0.5000 0.0000 0.0000  6 Se 2.94
Sm: 0.5000 0.0000 0.5000  6 Se 2.94
Sm: 0.5000 0.5000 0.0000  6 Se 2.94
Pa: 0.0000 0.0000 0.0000  6 Se 2.95
Se: 0.2500 0.2500 0.2500  6 Sm 2.94
Se: 0.2510 0.2510 0.7490  4 Sm 2.94, 1 Pa 2.95
Se: 0.2510 0.7490 0.2510  4 Sm 2.94, 1 Pa 2.95
Se: 0.2510 0.7490 0.7490  4 Sm 2.94, 1 Pa 2.95
Se: 0.7490 0.2510 0.2510  4 Sm 2.94, 1 Pa 2.95
Se: 0.7490 0.2510 0.7490  4 Sm 2.94, 1 Pa 2.95
Se: 0.7490 0.7490 0.2510  4 Sm 2.94, 1 Pa 2.95
Se: 0.7500 0.7500 0.7500  6 Sm 2.94

Density functional theory data (PBE-GGA) for a relaxed structure of SrLi2Os.

a = 4.7271 Å, b = 4.7271 Å, c = 4.7271 Å
α = 60.00°, β = 60.00°, γ = 60.00°
Last column: nearest neighbours and their distance in Å.
Positions (direct):
Sr: 0.0000 0.0000 0.0000  8 Li 2.89
Li: 0.2500 0.2500 0.2500  4 Os 2.89, 4 Sr 2.89
Li: 0.7500 0.7500 0.7500  4 Os 2.89, 4 Sr 2.89
Os: 0.5000 0.5000 0.5000  8 Li 2.89

Values from the calculation:
ΔE to the lowest computed polymorph = 110 meV/atom
ΔE_f = 2.42 eV/f.u.

Density functional theory data (PBE-GGA) for a relaxed structure of RbTlCoI4.

a = 7.8527 Å, b = 8.1157 Å, c = 10.1171 Å
α = 90.00°, β = 107.71°, γ = 90.00°
Last column: nearest neighbours and their distance in Å.
Positions (direct):
Rb: 0.2141 0.2500 0.0430  6 I 3.65-3.89
Rb: 0.7859 0.7500 0.9570  6 I 3.65-3.89
Tl: 0.2595 0.2500 0.5604  5 I 3.55-3.63
Tl: 0.7405 0.7500 0.4396  5 I 3.55-3.63
Co: 0.2098 0.7500 0.7846  4 I 2.58-2.59
Co: 0.7902 0.2500 0.2154  4 I 2.58-2.59
I: 0.0039 0.0003 0.2826  1 Co 2.59
I: 0.0039 0.4997 0.2826  1 Co 2.59
I: 0.3585 0.7500 0.0497  1 Co 2.58
I: 0.4193 0.7500 0.6322  1 Co 2.58
I: 0.5807 0.2500 0.3678  1 Co 2.58
I: 0.6415 0.2500 0.9503  1 Co 2.58
I: 0.9961 0.9997 0.7174  1 Co 2.59
I: 0.9961 0.5003 0.7174  1 Co 2.59

Density functional theory data (PBE-GGA) for a relaxed structure of PuCo2Ir.

a = 3.9477 Å, b = 3.9477 Å, c = 3.8178 Å
α = 90.00°, β = 90.00°, γ = 90.00°
Last column: nearest neighbours and their distance in Å.
Positions (direct):
Pu: 0.0000 0.0000 0.0000  8 Co 2.75, 4 Ir 2.79
Co: 0.0000 0.5000 0.5000  4 Ir 2.75, 4 Pu 2.75, 4 Co 2.79
Co: 0.5000 0.0000 0.5000  4 Ir 2.75, 4 Pu 2.75, 4 Co 2.79
Ir: 0.5000 0.5000 0.0000  8 Co 2.75, 4 Pu 2.79

Values from the calculation:
ΔE_f = -0.54 eV/f.u.

Density functional theory data (PBE-GGA) for a relaxed structure of Ta2MnAl.

a = 5.1639 Å, b = 5.1639 Å, c = 5.1639 Å
α = 136.96°, β = 136.96°, γ = 62.50°
Last column: nearest neighbours and their distance in Å.
Positions (direct):
Ta: 0.0000 0.0000 0.0000  4 Mn 2.68, 4 Ta 2.91, 4 Al 2.91
Ta: 0.7500 0.2500 0.5000  4 Al 2.68, 4 Mn 2.91, 4 Ta 2.91
Mn: 0.5000 0.5000 0.0000  8 Ta 2.68-2.91, 4 Al 2.91
Al: 0.2500 0.7500 0.5000  8 Ta 2.68-2.91, 4 Mn 2.91

Values from the calculation:
ΔE_f = -0.09 eV/f.u.

Density functional theory data (PBE-GGA) for a relaxed structure of HfBe3C.

a = 3.7406 Å, b = 3.7406 Å, c = 3.7406 Å
α = 90.00°, β = 90.00°, γ = 90.00°
Last column: nearest neighbours and their distance in Å.
Positions (direct):
Hf: 0.0000 0.0000 0.0000  12 Be 2.64
Be: 0.0000 0.5000 0.5000  2 C 1.87
Be: 0.5000 0.0000 0.5000  2 C 1.87
Be: 0.5000 0.5000 0.0000  2 C 1.87
C: 0.5000 0.5000 0.5000  6 Be 1.87

Values from the calculation:
ΔE to the lowest computed polymorph = 0 meV/atom
ΔE_f = 2.38 eV/f.u.

Density functional theory data (PBE-GGA) for a relaxed structure of YBeOs2.

a = 3.0016 Å, b = 4.2311 Å, c = 5.3165 Å
α = 90.00°, β = 103.18°, γ = 90.00°
Last column: nearest neighbours and their distance in Å.
Positions (direct):
Y: 0.0000 0.0000 0.0000  3 Os 2.75-3.00, 4 Be 2.92-2.94, 2 Y 3.00
Be: 0.6018 0.5000 0.2638  4 Os 2.36-2.40
Os: 0.2408 0.5000 0.6166  2 Be 2.36-2.37, 2 Os 2.60
Os: 0.6276 0.0000 0.4779  2 Be 2.40, 2 Os 2.60

Values from the calculation:
ΔE_f = 0.46 eV/f.u.

Density functional theory data (PBE-GGA) for a relaxed structure of InPBrO2.

a = 3.9814 Å, b = 3.9814 Å, c = 5.1434 Å
α = 90.00°, β = 90.00°, γ = 90.00°
Last column: nearest neighbours and their distance in Å.
Positions (direct):
In: 0.0000 0.0000 0.0000  4 P 2.82
P: 0.5000 0.5000 0.0000  2 Br 2.57, 4 In 2.82
Br: 0.5000 0.5000 0.5000  4 O 1.99
O: 0.0000 0.5000 0.5000  2 Br 1.99
O: 0.5000 0.0000 0.5000  2 Br 1.99

Values from the calculation:
ΔE to the lowest computed polymorph = 327 meV/atom

Density functional theory data (PBE-GGA) for a relaxed structure of Tm4Tl3Rh.

a = 3.5202 Å, b = 3.5202 Å, c = 15.8925 Å
α = 90.00°, β = 90.00°, γ = 90.00°
Last column: nearest neighbours and their distance in Å.
Positions (direct):
Tm: 0.0000 0.0000 0.1012  4 Rh 2.96, 1 Tm 3.22, 4 Tl 3.30
Tm: 0.0000 0.0000 0.3676  8 Tl 3.23-3.26, 4 Tm 3.52
Tm: 0.0000 0.0000 0.6324  8 Tl 3.23-3.26, 4 Tm 3.52
Tm: 0.0000 0.0000 0.8988  4 Rh 2.96, 1 Tm 3.22, 4 Tl 3.30
Tl: 0.5000 0.5000 0.2379  8 Tm 3.23-3.30, 4 Tl 3.52
Tl: 0.5000 0.5000 0.5000  8 Tm 3.26, 4 Tl 3.52
Tl: 0.5000 0.5000 0.7621  8 Tm 3.23-3.30, 4 Tl 3.52
Rh: 0.5000 0.5000 0.0000  8 Tm 2.96

Values from the calculation:
ΔE_f = -3.80 eV/f.u.

Density functional theory data (PBE-GGA) for a relaxed structure of Nd6TlRu2Br3.

a = 7.3221 Å, b = 7.3221 Å, c = 8.2372 Å
α = 98.49°, β = 98.49°, γ = 120.05°
Last column: nearest neighbours and their distance in Å.
Positions (direct):
Nd: 0.0593 0.4322 0.7957  2 Ru 2.81
Nd: 0.1952 0.1952 0.2043  2 Ru 2.81
Nd: 0.4322 0.0593 0.7957  2 Ru 2.81
Nd: 0.5678 0.9407 0.2043  2 Ru 2.81
Nd: 0.8048 0.8048 0.7957  2 Ru 2.81
Nd: 0.9407 0.5678 0.2043  2 Ru 2.81
Tl: 0.5000 0.5000 0.0000  6 Nd 3.17
Ru: 0.1665 0.8335 0.0000  6 Nd 2.81
Ru: 0.8335 0.1665 0.0000  6 Nd 2.81
Br: 0.0000 0.0000 0.5000  6 Nd 3.17-3.49
Br: 0.3340 0.6660 0.5000  6 Nd 3.17-3.48
Br: 0.6660 0.3340 0.5000  6 Nd 3.17-3.48

What are the calculated volume values for these records? In order: 51.61 29.78 27.05 18.67 43.87 14.87 15.84 10.47 16.44 16.31 24.62 30.43 Å³/atom.
What are the total energy values for these records? In order: -2.60 -5.24 -6.12 -3.58 -3.00 -9.49 -9.18 -5.60 -8.05 -3.48 -4.52 -5.33 eV per atom.